Entry 1:
# LaTaHg2C (PBE-GGA, relaxed)
# Crystal system: tetragonal
# Energy of formation from the pure elements, eV/atom: 0.425
data_LaTaHg2C
_chemical_formula_sum 'La1 Ta1 Hg2 C1'
_symmetry_space_group_name_H-M 'P 4/m m m'
_symmetry_Int_Tables_number 123
_symmetry_space_group_name_Hall '-P 4 2'
_cell_length_a 5.3954
_cell_length_b 5.3954
_cell_length_c 4.1997
_cell_angle_alpha 90.00
_cell_angle_beta 90.00
_cell_angle_gamma 90.00
loop_
_atom_site_label
_atom_site_fract_x
_atom_site_fract_y
_atom_site_fract_z
La1 0.0000 0.0000 0.0000
Ta1 0.5000 0.5000 0.5000
Hg1 0.0000 0.5000 0.5000
C1 0.5000 0.5000 0.0000

---

Entry 2:
# BeHgSbTe2 (PBE-GGA, relaxed)
# Crystal system: tetragonal
# Offset from the most stable computed form, eV/atom: 0.000
data_BeHgSbTe2
_chemical_formula_sum 'Be1 Hg1 Sb1 Te2'
_symmetry_space_group_name_H-M 'P 4/m m m'
_symmetry_Int_Tables_number 123
_symmetry_space_group_name_Hall '-P 4 2'
_cell_length_a 5.2446
_cell_length_b 5.2446
_cell_length_c 4.7658
_cell_angle_alpha 90.00
_cell_angle_beta 90.00
_cell_angle_gamma 90.00
loop_
_atom_site_label
_atom_site_fract_x
_atom_site_fract_y
_atom_site_fract_z
Be1 0.0000 0.0000 0.0000
Hg1 0.5000 0.5000 0.5000
Sb1 0.0000 0.0000 0.5000
Te1 0.0000 0.5000 0.0000

---

Please write out number 1 again, unchanged.
# LaTaHg2C (PBE-GGA, relaxed)
# Crystal system: tetragonal
# Energy of formation from the pure elements, eV/atom: 0.425
data_LaTaHg2C
_chemical_formula_sum 'La1 Ta1 Hg2 C1'
_symmetry_space_group_name_H-M 'P 4/m m m'
_symmetry_Int_Tables_number 123
_symmetry_space_group_name_Hall '-P 4 2'
_cell_length_a 5.3954
_cell_length_b 5.3954
_cell_length_c 4.1997
_cell_angle_alpha 90.00
_cell_angle_beta 90.00
_cell_angle_gamma 90.00
loop_
_atom_site_label
_atom_site_fract_x
_atom_site_fract_y
_atom_site_fract_z
La1 0.0000 0.0000 0.0000
Ta1 0.5000 0.5000 0.5000
Hg1 0.0000 0.5000 0.5000
C1 0.5000 0.5000 0.0000